Entry 1:
# CaZr2Cr

A relaxed CaZr2Cr crystal (PBE, the Alexandria database).

Relative energy among the computed polymorphs ... 306.4 meV/atom
Formation energy ... 0.55 eV/atom

Lattice parameters (Å, degrees): 4.5334 4.5334 9.0531 90.00 90.00 90.00
Space group I-4m2 (No. 119)
Symmetry-distinct sites (fractional):
Ca  0.0000  0.0000  0.0000 (multiplicity 2)
Zr  0.0000  0.0000  0.5000 (multiplicity 2)
Zr  0.0000  0.5000  0.2500 (multiplicity 2)
Cr  0.0000  0.5000  0.7500 (multiplicity 2)

Entry 2:
# Na2RePbO6

A relaxed Na2RePbO6 crystal (PBE, the Alexandria database).

Formation energy from raw total energies ... -1.4630 eV per atom

Lattice parameters (Å, degrees): 5.7216 5.7216 14.5402 90.00 90.00 120.00
Space group R3 (No. 146, hexagonal axes)
Symmetry-distinct sites (fractional):
Na  0.0000  0.0000  0.0000 (multiplicity 3)
Na  0.0000  0.0000  0.4990 (multiplicity 3)
Re  0.0000  0.0000  0.7185 (multiplicity 3)
Pb  0.0000  0.0000  0.2309 (multiplicity 3)
O  0.0373  0.4149  0.4504 (multiplicity 9)
O  0.0826  0.6974  0.2990 (multiplicity 9)

Total DFT energy (no corrections) (eV/atom)
-6.63, -6.32